## KTlCr2 (PBE)

Data for a geometry-optimized KTlCr2 structure.

a b c (Å): 9.5924 3.3208 7.2552
angles (deg): 90.00 97.02 90.00
Space group C2/m (No. 12)
Inequivalent atoms, fractional coordinates:
K 0.0000 0.0000 0.0000
Tl 0.0000 0.5000 0.5000
Cr 0.2323 0.0000 0.6617

ΔH_f (0 K): 920 meV per atom
spin magnetization: 18.20 μB/cell
distance to the lowest polymorph of the same formula: 0.395 eV/atom

---

## KTl2Cr (PBE)

Data for a geometry-optimized KTl2Cr structure.

a b c (Å): 8.4788 4.8936 6.9873
angles (deg): 90.00 113.81 90.00
Space group Cm (No. 8)
Inequivalent atoms, fractional coordinates:
K 0.0000 0.0000 0.0000
Tl 0.2015 0.0000 0.6072
Tl 0.4574 0.0000 0.3742
Cr 0.3145 0.5000 0.4457

ΔH_f (0 K): 346 meV per atom
spin magnetization: 7.81 μB/cell
distance to the lowest polymorph of the same formula: 0.060 eV/atom

---

## KTlCr2 (PBE)

Data for a geometry-optimized KTlCr2 structure.

a b c (Å): 3.4375 3.4375 31.7610
angles (deg): 90.00 90.00 120.00
Space group R-3m (No. 166, hexagonal axes)
Inequivalent atoms, fractional coordinates:
K 0.0000 0.0000 0.0000
Tl 0.0000 0.0000 0.5000
Cr 0.0000 0.0000 0.2359

ΔH_f (0 K): 1025 meV per atom
spin magnetization: 27.42 μB/cell
distance to the lowest polymorph of the same formula: 0.499 eV/atom

---

## KTlCr2 (PBE)

Data for a geometry-optimized KTlCr2 structure.

a b c (Å): 3.5492 3.5746 8.6197
angles (deg): 90.00 90.07 90.00
Space group P2/m (No. 10)
Inequivalent atoms, fractional coordinates:
K 0.0000 0.0000 0.0000
Tl 0.0000 0.0000 0.5000
Cr 0.4996 0.5000 0.3232

ΔH_f (0 K): 913 meV per atom
spin magnetization: 9.10 μB/cell
distance to the lowest polymorph of the same formula: 0.387 eV/atom

---

## KTlCr2 (PBE)

Data for a geometry-optimized KTlCr2 structure.

a b c (Å): 7.1542 7.1622 3.9037
angles (deg): 90.00 90.00 90.00
Space group Cmmm (No. 65)
Inequivalent atoms, fractional coordinates:
K 0.0000 0.0000 0.0000
Tl 0.0000 0.5000 0.0000
Cr 0.2500 0.2500 0.5000

ΔH_f (0 K): 1067 meV per atom
spin magnetization: 18.18 μB/cell
distance to the lowest polymorph of the same formula: 0.542 eV/atom

---

## KTl4Cr (PBE)

Data for a geometry-optimized KTl4Cr structure.

a b c (Å): 9.1240 9.1240 9.1240
angles (deg): 90.00 90.00 90.00
Space group F-43m (No. 216)
Inequivalent atoms, fractional coordinates:
K 0.0000 0.0000 0.0000
Tl 0.1242 0.1242 0.6242
Cr 0.2500 0.2500 0.2500

ΔH_f (0 K): 375 meV per atom
spin magnetization: 19.89 μB/cell